1.
Entry from the Alexandria database: a relaxed structure of MgZn9Se2 (PBE).

Cell: 5.2519 5.2519 27.2240 Å, 90.00 90.00 120.00°
Space group R-3m (No. 166, hexagonal axes)
Inequivalent atoms, fractional coordinates:
Mg 0.0000 0.0000 0.0000
Zn 0.0000 0.0000 0.3344
Zn 0.0000 0.0000 0.5000
Zn 0.0028 0.5014 0.9190
Se 0.0000 0.0000 0.1128

***

2.
Entry from the Alexandria database: a relaxed structure of MgZn2Se (PBE).

Cell: 5.006 5.006 12.014 Å, 90.00 90.00 90.00°
Space group I4/mmm (No. 139)
Inequivalent atoms, fractional coordinates:
Mg 0.000 0.000 0.143
Zn 0.000 0.000 0.395
Zn 0.000 0.500 0.000
Se 0.000 0.500 0.250

***

3.
Entry from the Alexandria database: a relaxed structure of MgZnSe (PBE).

Cell: 3.839 18.044 6.169 Å, 90.00 90.00 90.00°
Space group Amm2 (No. 38)
Inequivalent atoms, fractional coordinates:
Mg 0.000 0.000 0.000
Mg 0.000 0.179 0.700
Zn 0.500 0.000 0.666
Zn 0.500 0.139 0.380
Se 0.000 0.177 0.130
Se 0.500 0.000 0.268

The energy relative to the lowest polymorph listed for this composition comes out at 208 meV/atom.

***

4.
Entry from the Alexandria database: a relaxed structure of Mg2Zn2Se (PBE).

Cell: 4.243 3.918 14.209 Å, 90.00 90.06 90.00°
Space group P2_1/m (No. 11)
Inequivalent atoms, fractional coordinates:
Mg 0.249 0.250 0.147
Mg 0.250 0.750 0.485
Zn 0.251 0.250 0.631
Zn 0.252 0.750 0.992
Se 0.249 0.750 0.272

The energy relative to the lowest polymorph listed for this composition comes out at 182 meV/atom.

***

5.
Entry from the Alexandria database: a relaxed structure of Mg2ZnSe (PBE).

Cell: 3.676 3.829 12.004 Å, 90.00 90.00 90.00°
Space group Imm2 (No. 44)
Inequivalent atoms, fractional coordinates:
Mg 0.000 0.000 0.000
Mg 0.000 0.500 0.248
Zn 0.000 0.000 0.426
Se 0.000 0.500 0.679

The energy relative to the lowest polymorph listed for this composition comes out at 82 meV/atom.

***

6.
Entry from the Alexandria database: a relaxed structure of MgZn3Se3 (PBE).

Cell: 9.6783 9.6783 4.4603 Å, 90.00 90.00 120.00°
Space group P6_3/m (No. 176)
Inequivalent atoms, fractional coordinates:
Mg 0.3333 0.6667 0.2500
Zn 0.0651 0.6584 0.7500
Se 0.0806 0.3997 0.7500

The energy relative to the lowest polymorph listed for this composition comes out at 241 meV/atom.

***

7.
Entry from the Alexandria database: a relaxed structure of MgZn2Se (PBE).

Cell: 3.588 24.477 3.790 Å, 90.00 90.00 90.00°
Space group Cmcm (No. 63)
Inequivalent atoms, fractional coordinates:
Mg 0.000 0.150 0.250
Zn 0.000 0.032 0.750
Zn 0.000 0.248 0.750
Se 0.000 0.390 0.250

***

8.
Entry from the Alexandria database: a relaxed structure of Mg8Zn4Se (PBE).

Cell: 9.546 9.546 6.252 Å, 90.00 90.00 90.00°
Space group I4/mmm (No. 139)
Inequivalent atoms, fractional coordinates:
Mg 0.000 0.238 0.000
Mg 0.000 0.282 0.500
Zn 0.250 0.250 0.250
Se 0.000 0.000 0.500

The energy relative to the lowest polymorph listed for this composition comes out at 59 meV/atom.

***

Energy relative to the elements, uncorrected readings, ordered: -0.04; -0.17; -0.40; -0.16; -0.40; -0.34; -0.30; -0.02 eV/atom